## Na3HBr4 (GGA-PBE)

Data for a relaxed Na3HBr4 crystal.

Output
Calculated total energy (eV/atom): -2.9322

a b c (Å): 8.0157 7.5370 7.3271
angles (deg): 90.00 90.00 90.00
Space group Pmn2_1 (No. 31)
Inequivalent atoms, fractional coordinates:
Na (0.0000, 0.0090, 0.0000) [2 per cell]
Na (0.2448, 0.4918, 0.4695) [4 per cell]
H (0.0000, 0.8230, 0.6843) [2 per cell]
Br (0.0000, 0.3309, 0.7388) [2 per cell]
Br (0.0000, 0.6570, 0.2123) [2 per cell]
Br (0.2134, 0.8234, 0.7100) [4 per cell]

## NaH2Br2 (GGA-PBE)

Data for a relaxed NaH2Br2 crystal.

Output
Calculated total energy (eV/atom): -2.7141
Energy relative to the lowest polymorph listed for this composition (eV per atom): 0.020

a b c (Å): 8.9574 3.9188 7.3826
angles (deg): 90.00 101.96 90.00
Space group C2/m (No. 12)
Inequivalent atoms, fractional coordinates:
Na (0.0000, 0.0000, 0.0000) [2 per cell]
H (0.0418, 0.5000, 0.5220) [4 per cell]
Br (0.2295, 0.5000, 0.1801) [4 per cell]

## NaHBr (GGA-PBE)

Data for a relaxed NaHBr crystal.

Output
Calculated total energy (eV/atom): -3.0669
Energy relative to the lowest polymorph listed for this composition (eV per atom): 0.060

a b c (Å): 4.1639 5.7826 5.7924
angles (deg): 76.36 69.00 68.97
Space group P-1 (No. 2)
Inequivalent atoms, fractional coordinates:
Na (0.0008, 0.2300, 0.2695) [2 per cell]
H (0.4534, 0.5466, 0.0474) [2 per cell]
Br (0.2823, 0.2172, 0.7173) [2 per cell]